# 1
# SmPaZnO6

A relaxed structure of SmPaZnO6 (PBE, Alexandria).

CIF file:
```
data_SmPaZnO6
_space_group_name_H-M_alt 'P 3 1 2'
_space_group_IT_number 149
_cell_length_a 5.4732
_cell_length_b 5.4732
_cell_length_c 4.9054
_cell_angle_alpha 90.00
_cell_angle_beta 90.00
_cell_angle_gamma 120.00
loop_
_space_group_symop_operation_xyz
'x,y,z'
'-y,x-y,z'
'-x+y,-x,z'
'-y,-x,-z'
'-x+y,y,-z'
'x,x-y,-z'
loop_
_atom_site_label
_atom_site_type_symbol
_atom_site_fract_x
_atom_site_fract_y
_atom_site_fract_z
_atom_site_occupancy
Sm1 Sm 0.0000 0.0000 0.0000 1
Pa1 Pa 0.6667 0.3333 0.5000 1
Zn1 Zn 0.3333 0.6667 0.0000 1
O1 O 0.0009 0.3649 0.2438 1
```

Summary:
E in eV per cell: -66.6
Volume in Å³ per atom: 14.1
Formation energy without anion corrections in eV/f.u.: -21.34

=====

# 2
# BW3Br

A relaxed structure of BW3Br (PBE, Alexandria).

CIF file:
```
data_BW3Br
_space_group_name_H-M_alt 'P m -3 m'
_space_group_IT_number 221
_space_group_name_Hall '-P 4 2 3'
_cell_length_a 4.298
_cell_length_b 4.298
_cell_length_c 4.298
_cell_angle_alpha 90.00
_cell_angle_beta 90.00
_cell_angle_gamma 90.00
loop_
_atom_site_label
_atom_site_type_symbol
_atom_site_fract_x
_atom_site_fract_y
_atom_site_fract_z
_atom_site_occupancy
B1 B 0.000 0.000 0.000 1
W1 W 0.000 0.000 0.500 1
Br1 Br 0.500 0.500 0.500 1
```

Summary:
E in eV per cell: -41.3
Volume in Å³ per atom: 15.9
Formation energy without anion corrections in eV/f.u.: 5.95

=====

# 3
# FeCuAs2

A relaxed structure of FeCuAs2 (PBE, Alexandria).

CIF file:
```
data_FeCuAs2
_space_group_name_H-M_alt 'P 4/m m m'
_space_group_IT_number 123
_space_group_name_Hall '-P 4 2'
_cell_length_a 4.254
_cell_length_b 4.254
_cell_length_c 3.249
_cell_angle_alpha 90.00
_cell_angle_beta 90.00
_cell_angle_gamma 90.00
loop_
_atom_site_label
_atom_site_type_symbol
_atom_site_fract_x
_atom_site_fract_y
_atom_site_fract_z
_atom_site_occupancy
Fe1 Fe 0.000 0.000 0.000 1
Cu1 Cu 0.500 0.500 0.000 1
As1 As 0.000 0.500 0.500 1
```

Summary:
E in eV per cell: -20.9
Volume in Å³ per atom: 14.7

=====

# 4
# GaPHCl2

A relaxed structure of GaPHCl2 (PBE, Alexandria).

CIF file:
```
data_GaPHCl2
_space_group_name_H-M_alt 'P 4/m m m'
_space_group_IT_number 123
_space_group_name_Hall '-P 4 2'
_cell_length_a 5.210
_cell_length_b 5.210
_cell_length_c 3.317
_cell_angle_alpha 90.00
_cell_angle_beta 90.00
_cell_angle_gamma 90.00
loop_
_atom_site_label
_atom_site_type_symbol
_atom_site_fract_x
_atom_site_fract_y
_atom_site_fract_z
_atom_site_occupancy
Ga1 Ga 0.000 0.000 0.000 1
P1 P 0.500 0.500 0.000 1
H1 H 0.500 0.500 0.500 1
Cl1 Cl 0.000 0.500 0.500 1
```

Summary:
E in eV per cell: -14.4
Volume in Å³ per atom: 18.0

=====

# 5
# KNi

A relaxed structure of KNi (PBE, Alexandria).

CIF file:
```
data_KNi
_space_group_name_H-M_alt 'P 63/m m c'
_space_group_IT_number 194
_space_group_name_Hall '-P 6c 2c'
_cell_length_a 5.5725
_cell_length_b 5.5725
_cell_length_c 8.2967
_cell_angle_alpha 90.00
_cell_angle_beta 90.00
_cell_angle_gamma 120.00
loop_
_atom_site_label
_atom_site_type_symbol
_atom_site_fract_x
_atom_site_fract_y
_atom_site_fract_z
_atom_site_occupancy
K1 K 0.0000 0.0000 0.2500 1
K2 K 0.3333 0.6667 0.2500 1
Ni1 Ni 0.3333 0.6667 0.6159 1
```

Summary:
E in eV per cell: -20.3
Volume in Å³ per atom: 27.9

=====

# 6
# LiTbPrAg

A relaxed structure of LiTbPrAg (PBE, Alexandria).

CIF file:
```
data_LiTbPrAg
_space_group_name_H-M_alt 'F -4 3 m'
_space_group_IT_number 216
_space_group_name_Hall 'F -4 2 3'
_cell_length_a 7.477
_cell_length_b 7.477
_cell_length_c 7.477
_cell_angle_alpha 90.00
_cell_angle_beta 90.00
_cell_angle_gamma 90.00
loop_
_atom_site_label
_atom_site_type_symbol
_atom_site_fract_x
_atom_site_fract_y
_atom_site_fract_z
_atom_site_occupancy
Li1 Li 0.000 0.000 0.000 1
Tb1 Tb 0.250 0.250 0.750 1
Pr1 Pr 0.250 0.250 0.250 1
Ag1 Ag 0.000 0.000 0.500 1
```

Summary:
E in eV per cell: -57.7
Volume in Å³ per atom: 26.1

=====

# 7
# ZrTi2O

A relaxed structure of ZrTi2O (PBE, Alexandria).

CIF file:
```
data_ZrTi2O
_space_group_name_H-M_alt 'P 6/m m m'
_space_group_IT_number 191
_space_group_name_Hall '-P 6 2'
_cell_length_a 4.6407
_cell_length_b 4.6407
_cell_length_c 6.7380
_cell_angle_alpha 90.00
_cell_angle_beta 90.00
_cell_angle_gamma 120.00
loop_
_atom_site_label
_atom_site_type_symbol
_atom_site_fract_x
_atom_site_fract_y
_atom_site_fract_z
_atom_site_occupancy
Zr1 Zr 0.0000 0.0000 0.0000 1
Zr2 Zr 0.0000 0.0000 0.5000 1
Ti1 Ti 0.3333 0.6667 0.2171 1
O1 O 0.3333 0.6667 0.5000 1
```

Summary:
E in eV per cell: -67.1
Volume in Å³ per atom: 15.7
Formation energy without anion corrections in eV/f.u.: -4.27

=====

# 8
# MgAuS2N

A relaxed structure of MgAuS2N (PBE, Alexandria).

CIF file:
```
data_MgAuS2N
_space_group_name_H-M_alt 'P 4/m m m'
_space_group_IT_number 123
_space_group_name_Hall '-P 4 2'
_cell_length_a 5.054
_cell_length_b 5.054
_cell_length_c 3.782
_cell_angle_alpha 90.00
_cell_angle_beta 90.00
_cell_angle_gamma 90.00
loop_
_atom_site_label
_atom_site_type_symbol
_atom_site_fract_x
_atom_site_fract_y
_atom_site_fract_z
_atom_site_occupancy
Mg1 Mg 0.000 0.000 0.000 1
Au1 Au 0.500 0.500 0.500 1
S1 S 0.000 0.500 0.500 1
N1 N 0.500 0.500 0.000 1
```

Summary:
E in eV per cell: -17.9
Volume in Å³ per atom: 19.3
Formation energy without anion corrections in eV/f.u.: 3.50

=====

# 9
# SiAgPt2

A relaxed structure of SiAgPt2 (PBE, Alexandria).

CIF file:
```
data_SiAgPt2
_space_group_name_H-M_alt 'P m m 2'
_space_group_IT_number 25
_cell_length_a 2.833
_cell_length_b 3.938
_cell_length_c 5.800
_cell_angle_alpha 90.00
_cell_angle_beta 90.00
_cell_angle_gamma 90.00
loop_
_space_group_symop_operation_xyz
'x,y,z'
'-x,-y,z'
'-x,y,z'
'x,-y,z'
loop_
_atom_site_label
_atom_site_type_symbol
_atom_site_fract_x
_atom_site_fract_y
_atom_site_fract_z
_atom_site_occupancy
Si1 Si 0.000 0.000 0.000 1
Ag1 Ag 0.500 0.500 0.331 1
Pt1 Pt 0.000 0.000 0.579 1
Pt2 Pt 0.500 0.500 0.852 1
```

Summary:
E in eV per cell: -20.8
Volume in Å³ per atom: 16.2
Formation energy without anion corrections in eV/f.u.: -0.43

=====

# 10
# BaSc2MnN

A relaxed structure of BaSc2MnN (PBE, Alexandria).

CIF file:
```
data_BaSc2MnN
_space_group_name_H-M_alt 'P 4/m m m'
_space_group_IT_number 123
_space_group_name_Hall '-P 4 2'
_cell_length_a 4.603
_cell_length_b 4.603
_cell_length_c 5.659
_cell_angle_alpha 90.00
_cell_angle_beta 90.00
_cell_angle_gamma 90.00
loop_
_atom_site_label
_atom_site_type_symbol
_atom_site_fract_x
_atom_site_fract_y
_atom_site_fract_z
_atom_site_occupancy
Ba1 Ba 0.000 0.000 0.000 1
Sc1 Sc 0.000 0.500 0.500 1
Mn1 Mn 0.000 0.000 0.500 1
N1 N 0.500 0.500 0.000 1
```

Summary:
E in eV per cell: -26.7
Volume in Å³ per atom: 24.0
Formation energy without anion corrections in eV/f.u.: 5.34

=====

# 11
# TbPrHo

A relaxed structure of TbPrHo (PBE, Alexandria).

CIF file:
```
data_TbPrHo
_space_group_name_H-M_alt 'C 1 2/c 1'
_space_group_IT_number 15
_cell_length_a 6.226
_cell_length_b 10.786
_cell_length_c 11.963
_cell_angle_alpha 90.00
_cell_angle_beta 100.09
_cell_angle_gamma 90.00
loop_
_space_group_symop_operation_xyz
'x,y,z'
'-x,-y,-z'
'-x,y,-z+1/2'
'x,-y,z+1/2'
'x+1/2,y+1/2,z'
'-x+1/2,-y+1/2,-z'
'-x+1/2,y+1/2,-z+1/2'
'x+1/2,-y+1/2,z+1/2'
loop_
_atom_site_label
_atom_site_type_symbol
_atom_site_fract_x
_atom_site_fract_y
_atom_site_fract_z
_atom_site_occupancy
Tb1 Tb 0.124 0.084 0.125 1
Pr1 Pr 0.126 0.416 0.125 1
Ho1 Ho 0.125 0.250 0.625 1
```

Summary:
E in eV per cell: -111.5
Volume in Å³ per atom: 33.0

=====

# 12
# Pr3PtN

A relaxed structure of Pr3PtN (PBE, Alexandria).

CIF file:
```
data_Pr3PtN
_space_group_name_H-M_alt 'C 1 2/c 1'
_space_group_IT_number 15
_cell_length_a 13.933
_cell_length_b 11.121
_cell_length_c 6.780
_cell_angle_alpha 90.00
_cell_angle_beta 100.62
_cell_angle_gamma 90.00
loop_
_space_group_symop_operation_xyz
'x,y,z'
'-x,-y,-z'
'-x,y,-z+1/2'
'x,-y,z+1/2'
'x+1/2,y+1/2,z'
'-x+1/2,-y+1/2,-z'
'-x+1/2,y+1/2,-z+1/2'
'x+1/2,-y+1/2,z+1/2'
loop_
_atom_site_label
_atom_site_type_symbol
_atom_site_fract_x
_atom_site_fract_y
_atom_site_fract_z
_atom_site_occupancy
Pr1 Pr 0.103 0.240 0.457 1
Pr2 Pr 0.105 0.081 0.953 1
Pr3 Pr 0.115 0.410 0.905 1
Pt1 Pt 0.241 0.389 0.287 1
N1 N 0.000 0.081 0.250 1
N2 N 0.000 0.246 0.750 1
```

Summary:
E in eV per cell: -263.3
Volume in Å³ per atom: 25.8
Formation energy without anion corrections in eV/f.u.: -4.20

=====

# 13
# KSi2Cl

A relaxed structure of KSi2Cl (PBE, Alexandria).

CIF file:
```
data_KSi2Cl
_space_group_name_H-M_alt 'P 4 m m'
_space_group_IT_number 99
_cell_length_a 3.546
_cell_length_b 3.546
_cell_length_c 7.940
_cell_angle_alpha 90.00
_cell_angle_beta 90.00
_cell_angle_gamma 90.00
loop_
_space_group_symop_operation_xyz
'x,y,z'
'-y,x,z'
'-x,-y,z'
'y,-x,z'
'-x,y,z'
'y,x,z'
'x,-y,z'
'-y,-x,z'
loop_
_atom_site_label
_atom_site_type_symbol
_atom_site_fract_x
_atom_site_fract_y
_atom_site_fract_z
_atom_site_occupancy
K1 K 0.000 0.000 0.000 1
Si1 Si 0.000 0.000 0.425 1
Si2 Si 0.500 0.500 0.474 1
Cl1 Cl 0.500 0.500 0.798 1
```

Summary:
E in eV per cell: -15.0
Volume in Å³ per atom: 25.0
Formation energy without anion corrections in eV/f.u.: -1.21

=====

# 14
# Mo2PbCl

A relaxed structure of Mo2PbCl (PBE, Alexandria).

CIF file:
```
data_Mo2PbCl
_space_group_name_H-M_alt 'C 1 m 1'
_space_group_IT_number 8
_cell_length_a 8.848
_cell_length_b 3.183
_cell_length_c 7.299
_cell_angle_alpha 90.00
_cell_angle_beta 99.88
_cell_angle_gamma 90.00
loop_
_space_group_symop_operation_xyz
'x,y,z'
'x,-y,z'
'x+1/2,y+1/2,z'
'x+1/2,-y+1/2,z'
loop_
_atom_site_label
_atom_site_type_symbol
_atom_site_fract_x
_atom_site_fract_y
_atom_site_fract_z
_atom_site_occupancy
Mo1 Mo 0.000 0.000 0.000 1
Mo2 Mo 0.205 0.500 0.093 1
Pb1 Pb 0.226 0.000 0.740 1
Cl1 Cl 0.422 0.000 0.290 1
```

Summary:
E in eV per cell: -50.5
Volume in Å³ per atom: 25.3
Formation energy without anion corrections in eV/f.u.: 1.97

=====

# 15
# Dy2ErZr3N6

A relaxed structure of Dy2ErZr3N6 (PBE, Alexandria).

CIF file:
```
data_Dy2ErZr3N6
_space_group_name_H-M_alt 'C 1 2/m 1'
_space_group_IT_number 12
_cell_length_a 5.784
_cell_length_b 10.001
_cell_length_c 5.831
_cell_angle_alpha 90.00
_cell_angle_beta 109.35
_cell_angle_gamma 90.00
loop_
_space_group_symop_operation_xyz
'x,y,z'
'-x,-y,-z'
'-x,y,-z'
'x,-y,z'
'x+1/2,y+1/2,z'
'-x+1/2,-y+1/2,-z'
'-x+1/2,y+1/2,-z'
'x+1/2,-y+1/2,z'
loop_
_atom_site_label
_atom_site_type_symbol
_atom_site_fract_x
_atom_site_fract_y
_atom_site_fract_z
_atom_site_occupancy
Dy1 Dy 0.000 0.167 0.000 1
Er1 Er 0.000 0.500 0.000 1
Zr1 Zr 0.000 0.000 0.500 1
Zr2 Zr 0.000 0.334 0.500 1
N1 N 0.242 0.500 0.735 1
N2 N 0.246 0.166 0.734 1
```

Summary:
E in eV per cell: -220.5
Volume in Å³ per atom: 13.3
Formation energy without anion corrections in eV/f.u.: -20.90

=====

# 16
# Tb5CePmY2

A relaxed structure of Tb5CePmY2 (PBE, Alexandria).

CIF file:
```
data_Tb5CePmY2
_space_group_name_H-M_alt 'C m c 21'
_space_group_IT_number 36
_cell_length_a 5.653
_cell_length_b 20.035
_cell_length_c 10.452
_cell_angle_alpha 90.00
_cell_angle_beta 90.00
_cell_angle_gamma 90.00
loop_
_space_group_symop_operation_xyz
'x,y,z'
'-x,-y,z+1/2'
'-x,y,z'
'x,-y,z+1/2'
'x+1/2,y+1/2,z'
'-x+1/2,-y+1/2,z+1/2'
'-x+1/2,y+1/2,z'
'x+1/2,-y+1/2,z+1/2'
loop_
_atom_site_label
_atom_site_type_symbol
_atom_site_fract_x
_atom_site_fract_y
_atom_site_fract_z
_atom_site_occupancy
Tb1 Tb 0.000 0.018 0.000 1
Tb2 Tb 0.000 0.279 0.285 1
Tb3 Tb 0.000 0.297 0.678 1
Tb4 Tb 0.000 0.392 0.002 1
Tb5 Tb 0.000 0.477 0.713 1
Ce1 Ce 0.000 0.203 0.988 1
Pm1 Pm 0.000 0.413 0.423 1
Y1 Y 0.000 0.113 0.708 1
Y2 Y 0.000 0.115 0.297 1
```

Summary:
E in eV per cell: -180.8
Volume in Å³ per atom: 32.9

=====

# 17
# SmGd2Ga

A relaxed structure of SmGd2Ga (PBE, Alexandria).

CIF file:
```
data_SmGd2Ga
_space_group_name_H-M_alt 'P 4/m m m'
_space_group_IT_number 123
_space_group_name_Hall '-P 4 2'
_cell_length_a 3.559
_cell_length_b 3.559
_cell_length_c 9.013
_cell_angle_alpha 90.00
_cell_angle_beta 90.00
_cell_angle_gamma 90.00
loop_
_atom_site_label
_atom_site_type_symbol
_atom_site_fract_x
_atom_site_fract_y
_atom_site_fract_z
_atom_site_occupancy
Sm1 Sm 0.000 0.000 0.000 1
Gd1 Gd 0.500 0.500 0.292 1
Ga1 Ga 0.000 0.000 0.500 1
```

Summary:
E in eV per cell: -37.0
Volume in Å³ per atom: 28.5

=====

# 18
# Ce5Er3N8

A relaxed structure of Ce5Er3N8 (PBE, Alexandria).

CIF file:
```
data_Ce5Er3N8
_space_group_name_H-M_alt 'R -3 m'
_space_group_IT_number 166
_space_group_name_Hall '-R 3 2"'
_cell_length_a 7.0262
_cell_length_b 7.0262
_cell_length_c 17.2532
_cell_angle_alpha 90.00
_cell_angle_beta 90.00
_cell_angle_gamma 120.00
loop_
_atom_site_label
_atom_site_type_symbol
_atom_site_fract_x
_atom_site_fract_y
_atom_site_fract_z
_atom_site_occupancy
Ce1 Ce 0.0000 0.0000 0.0000 1
Ce2 Ce 0.0000 0.0000 0.5000 1
Ce3 Ce 0.0000 0.5000 0.0000 1
Er1 Er 0.0000 0.5000 0.5000 1
N1 N 0.0000 0.0000 0.2485 1
N2 N 0.0038 0.5019 0.7520 1
```

Summary:
E in eV per cell: -406.0
Volume in Å³ per atom: 15.4
Formation energy without anion corrections in eV/f.u.: -25.36

=====

# 19
# Dy3Sc12Al5

A relaxed structure of Dy3Sc12Al5 (PBE, Alexandria).

CIF file:
```
data_Dy3Sc12Al5
_space_group_name_H-M_alt 'I a -3 d'
_space_group_IT_number 230
_space_group_name_Hall '-I 4bd 2c 3'
_cell_length_a 16.865
_cell_length_b 16.865
_cell_length_c 16.865
_cell_angle_alpha 90.00
_cell_angle_beta 90.00
_cell_angle_gamma 90.00
loop_
_atom_site_label
_atom_site_type_symbol
_atom_site_fract_x
_atom_site_fract_y
_atom_site_fract_z
_atom_site_occupancy
Dy1 Dy 0.000 0.250 0.125 1
Sc1 Sc 0.031 0.070 0.641 1
Al1 Al 0.000 0.000 0.000 1
Al2 Al 0.000 0.250 0.375 1
```

Summary:
E in eV per cell: -754.1
Volume in Å³ per atom: 30.0

=====

# 20
# Rb2Li2Cd

A relaxed structure of Rb2Li2Cd (PBE, Alexandria).

CIF file:
```
data_Rb2Li2Cd
_space_group_name_H-M_alt 'I 4/m m m'
_space_group_IT_number 139
_space_group_name_Hall '-I 4 2'
_cell_length_a 4.240
_cell_length_b 4.240
_cell_length_c 23.756
_cell_angle_alpha 90.00
_cell_angle_beta 90.00
_cell_angle_gamma 90.00
loop_
_atom_site_label
_atom_site_type_symbol
_atom_site_fract_x
_atom_site_fract_y
_atom_site_fract_z
_atom_site_occupancy
Rb1 Rb 0.000 0.000 0.105 1
Li1 Li 0.000 0.500 0.250 1
Cd1 Cd 0.000 0.000 0.500 1
```

Summary:
E in eV per cell: -12.1
Volume in Å³ per atom: 42.7